This record from the Alexandria database describes a relaxed Th2Al4HgAu3 crystal. The functional is PBE.

Results
- symmetry = P-4m2, No. 115
- magnetic moment (μB per formula unit) = 0.00
- ΔE_f (eV/atom) = -0.60
- DOS at the Fermi energy (states/eV per cell) = 5.33

Lattice parameters (Å, degrees): 4.4440 4.4440 10.5282 90.00 90.00 90.00
Closest atoms and distances in Å follow each position.
Fractional coordinates of all 10 atoms:
Th: 0.5000 0.0000 0.2468  8 Al 3.37-3.42, 6 Au 3.39-3.47, 2 Hg 3.47
Th: 0.0000 0.5000 0.7532  8 Al 3.37-3.42, 6 Au 3.39-3.47, 2 Hg 3.47
Al: 0.5000 0.5000 0.0000  4 Au 2.59
Al: 0.0000 0.0000 0.0000  4 Au 2.59
Al: 0.5000 0.0000 0.6379  3 Au 2.48-2.65, 2 Hg 2.65
Al: 0.0000 0.5000 0.3621  3 Au 2.48-2.65, 2 Hg 2.65
Hg: 0.5000 0.5000 0.5000  4 Al 2.65
Au: 0.0000 0.0000 0.5000  4 Al 2.65
Au: 0.5000 0.0000 0.8739  5 Al 2.48-2.59
Au: 0.0000 0.5000 0.1261  5 Al 2.48-2.59